i) 7
Lattice="-2.2508 3.0558 -4.0061 -2.4537 -4.8109 1.1350 -0.3802 3.0187 4.6040" Properties=species:S:1:pos:R:3 comment="AlZn2Ga4 (PBE-GGA, optimized geometry)" density_g_cm3=5.7 n_ef_per_ev_atom=0.362 space_group="I4/mmm, No. 139" pbc="T T T"
Al -2.3522 -0.8775 -1.4356
Zn -2.5930 -1.3349 2.1517
Zn -2.4916 2.5985 -0.4189
Ga -1.1349 0.8894 1.3159
Ga -2.2930 1.4222 -2.9384
Ga -2.7917 -0.1586 4.6712
Ga -3.9498 0.3742 0.4169

---

ii) 7
Lattice="-0.7583 -1.2509 -2.4353 -0.6841 -2.7571 -0.0278 -17.5355 2.8637 2.3321" Properties=species:S:1:pos:R:3 comment="AlZn2Ga4 (PBE-GGA, optimized geometry)" density_g_cm3=5.8 n_ef_per_ev_atom=0.364 space_group="R-3m, No. 166" pbc="T T T"
Zn -5.2927 -0.1511 0.0686
Zn -13.6851 -0.9933 -0.1996
Al 0.0000 0.0000 0.0000
Ga -16.2311 -0.3663 0.2711
Ga -2.7467 -0.7780 -0.4021
Ga -10.2697 1.0745 0.9888
Ga -8.7082 -2.2188 -1.1198

---

Relative energies in meV/atom: i) 70; ii) 0

---

i) 9
Lattice="-5.7661 -0.9527 -0.2244 -2.0363 -5.2766 -1.4887 -2.5559 -3.6325 4.8830" Properties=species:S:1:pos:R:3 comment="AlZn2Ga6 (PBE-GGA, optimized geometry)" density_g_cm3=5.7 n_ef_per_ev_atom=0.251 space_group="R3, No. 146" pbc="T T T"
Al -5.1614 -5.5458 3.7402
Zn -7.7579 -7.7735 3.6991
Zn -5.1818 -4.8383 1.2604
Ga -7.6285 -5.4535 2.4405
Ga -3.7114 -7.1048 1.9371
Ga -4.1752 -3.0136 3.1082
Ga -2.7521 -4.2594 0.1331
Ga -6.6255 -2.5931 0.6404
Ga -6.1969 -6.6554 -0.5222

---

ii) 18
Lattice="-0.1588 6.2673 1.1859 -6.3838 -0.0415 3.3876 3.3183 -0.3676 6.4097" Properties=species:S:1:pos:R:3 comment="AlZn2Ga6 (PBE-GGA, optimized geometry)" density_g_cm3=5.8 n_ef_per_ev_atom=0.382 space_group="C2/c, No. 15" pbc="T T T"
Al 1.7663 1.2501 6.2351
Al -4.9906 4.6081 4.7481
Zn -1.5810 0.5886 7.0573
Zn -0.4757 2.0994 3.6720
Zn -1.6433 5.2696 3.9260
Zn -2.7486 3.7588 7.3113
Ga -2.8662 2.8594 4.6949
Ga -3.0103 -0.0430 4.8445
Ga -0.3581 2.9988 6.2883
Ga -0.2140 5.9012 6.1387
Ga 1.0015 4.3290 4.1220
Ga -0.4078 4.5319 8.6682
Ga -4.2258 1.5292 6.8612
Ga -2.8165 1.3263 2.3150
Ga -1.9691 2.0954 9.3575
Ga 0.4183 0.5755 1.5293
Ga -1.2552 3.7628 1.6257
Ga -3.6426 5.2827 9.4539

---

Relative energies in meV/atom: i) 0; ii) 7

---

i) 5
Lattice="4.8743 0.0000 0.0000 0.0000 4.8743 0.0000 0.0000 0.0000 4.8743" Properties=species:S:1:pos:R:3 comment="AlZn3Ga (PBE-GGA, optimized geometry)" density_g_cm3=4.2 n_ef_per_ev_atom=0.555 space_group="Pm-3m, No. 221" pbc="T T T"
Zn 0.0000 2.4371 0.0000
Zn 0.0000 0.0000 2.4371
Zn 2.4371 0.0000 0.0000
Al 0.0000 0.0000 0.0000
Ga 2.4371 2.4371 2.4371

---

ii) 10
Lattice="-2.8638 0.0481 0.3455 1.5152 -2.3083 0.8360 2.5972 9.0449 20.2659" Properties=species:S:1:pos:R:3 comment="AlZn3Ga (PBE-GGA, optimized geometry)" density_g_cm3=6.0 n_ef_per_ev_atom=0.302 space_group="P6_3mc, No. 186" pbc="T T T"
Al 1.9416 5.0455 15.3894
Al -0.8167 1.3085 5.0929
Zn 0.8435 2.9376 6.5819
Zn 2.1421 7.4600 16.7149
Zn 0.3875 -0.3668 3.2627
Zn 0.2264 4.9411 13.2321
Zn 0.9903 7.6013 19.1924
Zn 1.1513 2.2933 9.2229
Ga 0.0632 0.2199 0.4928
Ga 1.3618 4.7424 10.6258

---

iii) 10
Lattice="2.6520 0.2162 0.1641 2.0255 8.3592 0.1001 2.0255 2.3451 8.0242" Properties=species:S:1:pos:R:3 comment="AlZn3Ga (PBE-GGA, optimized geometry)" density_g_cm3=5.7 n_ef_per_ev_atom=0.341 space_group="C2/m, No. 12" pbc="T T T"
Al 2.8269 4.4575 3.3831
Al 3.8760 6.4630 4.9052
Zn 2.9588 2.1190 1.6083
Zn 3.7441 8.8015 6.6801
Zn 1.6043 4.8414 1.0464
Zn 5.0986 8.6103 3.9069
Zn 5.0986 6.0791 7.2419
Zn 1.6043 2.3102 4.3814
Ga 3.3515 3.3236 6.9594
Ga 3.3515 7.5969 1.3290

---

Relative energies in meV/atom: i) 432; ii) 0; iii) 57

---

i) 7
Lattice="3.7772 0.0000 -1.0747 -0.0271 4.1720 -0.0952 0.1858 2.4192 7.8281" Properties=species:S:1:pos:R:3 comment="Al2Zn2Ga3 (PBE-GGA, optimized geometry)" density_g_cm3=5.2 n_ef_per_ev_atom=0.214 space_group="C2/m, No. 12" pbc="T T T"
Al 2.3573 4.2445 1.1098
Al 1.5787 2.3467 5.5484
Zn 3.5075 4.4580 5.1524
Zn 0.4284 2.1333 1.5058
Ga 0.0000 0.0000 0.0000
Ga 2.8774 2.2428 2.9381
Ga 1.0585 4.3484 3.7202

---

ii) 7
Lattice="-2.6994 1.5453 -0.2030 0.6016 -1.1552 6.3426 3.2455 5.5538 -0.9082" Properties=species:S:1:pos:R:3 comment="Al2Zn2Ga3 (PBE-GGA, optimized geometry)" density_g_cm3=5.3 n_ef_per_ev_atom=0.280 space_group="P-1, No. 2" pbc="T T T"
Al 1.0018 4.9861 0.6077
Al 0.1458 0.9578 4.6237
Zn -0.0923 3.6483 4.5061
Zn 1.2400 2.2956 0.7253
Ga 0.0000 0.0000 0.0000
Ga -0.9615 1.8133 2.2277
Ga 2.1092 4.1306 3.0036

---

Relative energies in meV/atom: i) 0; ii) 5

---

i) 18
Lattice="4.6631 -0.8156 -1.0831 -0.9755 8.2563 0.4087 -0.4289 0.9591 8.2572" Properties=species:S:1:pos:R:3 comment="Al3Zn4Ga2 (PBE-GGA, optimized geometry)" density_g_cm3=5.2 n_ef_per_ev_atom=0.308 space_group="C2/c, No. 15" pbc="T T T"
Al 3.9205 2.6281 6.4650
Al 1.9898 1.0917 5.1710
Al -0.6618 5.7716 1.1177
Al 1.2690 7.3080 2.4117
Al 2.8277 3.5618 3.9875
Al 0.4311 4.8379 3.5952
Zn 2.1102 0.9638 -0.3558
Zn -1.2653 8.9430 7.2979
Zn 1.1486 7.4360 7.9386
Zn 4.5240 -0.5432 0.2848
Zn 4.0220 2.2247 0.7820
Zn 1.4933 6.7683 5.1825
Zn -0.7632 6.1751 6.8008
Zn 1.7654 1.6315 2.4002
Ga 1.8226 4.1239 1.3093
Ga 3.5890 6.2534 3.1662
Ga 1.4362 4.2759 6.2734
Ga -0.3302 2.1463 4.4165

---

ii) 9
Lattice="2.8401 0.0000 0.0000 -1.4200 2.4596 0.0000 0.0000 0.0000 21.5658" Properties=species:S:1:pos:R:3 comment="Al3Zn4Ga2 (PBE-GGA, optimized geometry)" density_g_cm3=5.3 n_ef_per_ev_atom=0.484 space_group="P3m1, No. 156" pbc="T T T"
Al 0.0000 0.0000 21.2321
Al 0.0000 0.0000 7.0597
Al 1.4200 0.8199 13.9599
Zn 0.0000 0.0000 11.6268
Zn 1.4200 0.8199 9.3788
Zn 1.4200 0.8199 4.7507
Zn 0.0000 0.0000 16.3124
Ga 1.4200 0.8199 2.0758
Ga 1.4200 0.8199 18.7835

---

Relative energies in meV/atom: i) 15; ii) 0

---

i) 8
Lattice="3.2302 0.0000 0.0000 1.6151 6.4703 -0.5105 1.6151 1.4599 6.3241" Properties=species:S:1:pos:R:3 comment="Al2Zn5Ga (PBE-GGA, optimized geometry)" density_g_cm3=5.6 n_ef_per_ev_atom=0.241 space_group="Immm, No. 71" pbc="T T T"
Al 4.8453 6.1139 4.4821
Al 1.6151 1.8163 1.3316
Zn 1.6151 3.9651 2.9068
Zn 3.2302 3.9616 0.6798
Zn 3.2302 3.9687 5.1339
Zn 3.2302 6.0900 2.2402
Zn 3.2302 1.8402 3.5735
Ga 0.0000 0.0000 0.0000

---

ii) 16
Lattice="-0.9283 3.4058 1.9401 -4.2986 -2.5878 2.4860 6.7244 -3.0073 8.4967" Properties=species:S:1:pos:R:3 comment="Al2Zn5Ga (PBE-GGA, optimized geometry)" density_g_cm3=5.9 n_ef_per_ev_atom=0.234 space_group="Pbam, No. 55" pbc="T T T"
Al 2.6595 -0.8281 6.9077
Al -1.1620 -1.3612 6.0151
Al -0.6904 0.6830 2.6523
Al 2.1879 -2.8723 10.2706
Zn 0.0000 0.0000 0.0000
Zn 1.2129 -2.7976 5.4914
Zn 2.8537 -3.5361 7.5729
Zn -0.4279 -2.0590 3.4098
Zn -2.6487 -3.3209 4.5624
Zn 5.0746 -2.2742 6.4204
Zn 4.3469 -1.5620 9.0036
Zn -2.8494 -0.6273 3.9193
Zn 0.9576 -0.0747 4.7709
Zn 0.5399 -2.1146 8.1519
Ga 3.3622 -1.5036 4.2484
Ga -2.1493 -1.2939 1.2430

---

Relative energies in meV/atom: i) 49; ii) 0